<w>
! NdCdHgBi, relaxed, DFT PBE; values from VASP
! **Density of states at the Fermi level**: 3.461 states/eV/cell
! **Space group**: No. 216
&SYSTEM
  ibrav = 0, nat = 4, ntyp = 4
/
ATOMIC_SPECIES
Nd 144.24 Nd.upf
Cd 112.41 Cd.upf
Hg 200.59 Hg.upf
Bi 208.98 Bi.upf
CELL_PARAMETERS angstrom
0.000 3.830 3.830
3.830 0.000 3.830
3.830 3.830 0.000
ATOMIC_POSITIONS crystal
Nd 0.000 0.000 0.000
Cd 0.500 0.500 0.500
Hg 0.250 0.250 0.250
Bi 0.750 0.750 0.750

<x>
! NdCdHgBi, relaxed, DFT PBE; values from VASP
! **Density of states at the Fermi level**: 1.197 states/eV/cell
! **Space group**: No. 47
&SYSTEM
  ibrav = 0, nat = 4, ntyp = 4
/
ATOMIC_SPECIES
Nd 144.24 Nd.upf
Cd 112.41 Cd.upf
Hg 200.59 Hg.upf
Bi 208.98 Bi.upf
CELL_PARAMETERS angstrom
4.537 0.000 0.000
0.000 4.703 0.000
0.000 0.000 5.117
ATOMIC_POSITIONS crystal
Nd 0.000 0.000 0.000
Cd 0.000 0.500 0.500
Hg 0.500 0.000 0.500
Bi 0.500 0.500 0.000

Which structure loses on stability? <w> does.

<w>
! PmCdHgBi, relaxed, DFT PBE; values from VASP
! **Density of states at the Fermi level**: 1.163 states/eV/cell
! **Space group**: No. 47
&SYSTEM
  ibrav = 0, nat = 4, ntyp = 4
/
ATOMIC_SPECIES
Pm 145.00 Pm.upf
Cd 112.41 Cd.upf
Hg 200.59 Hg.upf
Bi 208.98 Bi.upf
CELL_PARAMETERS angstrom
4.513 0.000 0.000
0.000 4.679 0.000
0.000 0.000 5.106
ATOMIC_POSITIONS crystal
Pm 0.000 0.000 0.000
Cd 0.000 0.500 0.500
Hg 0.500 0.000 0.500
Bi 0.500 0.500 0.000

<x>
! PmCdHgBi, relaxed, DFT PBE; values from VASP
! **Density of states at the Fermi level**: 3.414 states/eV/cell
! **Space group**: No. 216
&SYSTEM
  ibrav = 0, nat = 4, ntyp = 4
/
ATOMIC_SPECIES
Pm 145.00 Pm.upf
Cd 112.41 Cd.upf
Hg 200.59 Hg.upf
Bi 208.98 Bi.upf
CELL_PARAMETERS angstrom
0.000 3.817 3.817
3.817 0.000 3.817
3.817 3.817 0.000
ATOMIC_POSITIONS crystal
Pm 0.000 0.000 0.000
Cd 0.500 0.500 0.500
Hg 0.250 0.250 0.250
Bi 0.750 0.750 0.750

Which structure loses on stability? <x> does.